Pr3TlCd5 | GGA-PBE | optimized geometry

The space group is P6_3/mcm (No. 193) and the conventional cell measures 9.2522, 9.2522 and 6.5908 Å, with angles of 90.00, 90.00 and 120.00 degrees. The inequivalent atoms are Pr at (0.0000, 0.3216, 0.2500), Tl at (0.0000, 0.0000, 0.0000), Cd at (0.0000, 0.3492, 0.7500) and Cd at (0.3333, 0.6667, 0.0000).

The formation energy from the elements comes out at -30 kJ/mol of atoms. As for the crystal system: hexagonal. The calculated total energy comes out at -2.674 eV per atom.